<a>
This record from the Alexandria database describes a relaxed structure of Co2SbO. The functional is GGA+U.

POSCAR file:
```
Co2SbO
1.0
0.000 2.953 2.953
2.953 0.000 2.953
2.953 2.953 0.000
Co O Sb
2 1 1
Direct
0.750 0.750 0.750
0.250 0.250 0.250
0.000 0.000 0.000
0.500 0.500 0.500
```

Output
The calculated volume comes out at 12.874 Å³ per atom. As for the crystal system: cubic.



<b>
This record from the Alexandria database describes a relaxed structure of Co2SbO. The functional is GGA+U.

POSCAR file:
```
Co2SbO
1.0
4.898 0.000 0.000
0.000 4.898 0.000
2.449 2.449 5.631
Co O Sb
4 2 2
Direct
0.875 0.730 0.750
0.270 0.625 0.250
0.375 0.520 0.750
0.480 0.125 0.250
0.500 0.500 0.000
0.250 0.750 0.500
0.750 0.250 0.500
0.000 0.000 0.000
```

Output
The calculated volume comes out at 16.885 Å³ per atom. As for the crystal system: tetragonal.



So which one is most stable? That would be <b>, about 67.4 kJ/mol of atoms below the next structure.



<a>
This record from the Alexandria database describes a relaxed structure of Co7Sb2O12. The functional is GGA+U.

POSCAR file:
```
Co7Sb2O12
1.0
6.159 0.004 -0.005
-0.037 6.159 -0.005
2.836 2.855 12.950
O Co Sb
24 14 4
Direct
0.920 0.935 0.675
0.243 0.245 0.010
0.399 0.953 0.664
0.935 0.920 0.175
0.402 0.399 0.168
0.399 0.402 0.668
0.757 0.755 0.990
0.923 0.394 0.673
0.077 0.606 0.327
0.717 0.250 0.506
0.755 0.757 0.490
0.601 0.047 0.336
0.394 0.923 0.173
0.598 0.601 0.832
0.080 0.065 0.325
0.606 0.077 0.827
0.250 0.717 0.006
0.750 0.283 0.994
0.601 0.598 0.332
0.065 0.080 0.825
0.953 0.399 0.164
0.245 0.243 0.510
0.283 0.750 0.494
0.047 0.601 0.836
0.705 0.982 0.078
0.338 0.819 0.338
0.641 0.359 0.250
0.018 0.295 0.422
0.295 0.018 0.922
0.500 0.500 0.500
0.819 0.338 0.838
0.982 0.705 0.578
0.181 0.662 0.162
0.000 0.500 0.000
0.500 0.000 0.500
0.500 0.500 0.000
0.359 0.641 0.750
0.662 0.181 0.662
0.179 0.166 0.164
0.834 0.821 0.336
0.821 0.834 0.836
0.166 0.179 0.664
```

Output
The calculated volume comes out at 11.699 Å³ per atom. As for the crystal system: monoclinic.



<b>
This record from the Alexandria database describes a relaxed structure of Co7Sb2O12. The functional is GGA+U.

POSCAR file:
```
Co7Sb2O12
1.0
6.050 -0.023 -0.016
2.968 5.271 -0.016
0.026 0.015 15.115
O Co Sb
24 14 4
Direct
0.834 0.160 0.268
0.681 0.463 0.412
0.475 0.347 0.090
0.010 0.344 0.089
0.329 0.144 0.750
0.010 0.848 0.585
0.653 0.525 0.910
0.656 0.990 0.911
0.324 0.699 0.749
0.196 0.985 0.912
0.503 0.833 0.071
0.840 0.166 0.732
0.537 0.319 0.588
0.856 0.671 0.250
0.792 0.689 0.746
0.014 0.315 0.587
0.685 0.986 0.413
0.311 0.208 0.254
0.499 0.834 0.596
0.152 0.990 0.415
0.166 0.501 0.404
0.301 0.676 0.251
0.167 0.497 0.929
0.015 0.804 0.088
0.839 0.167 0.867
0.141 0.514 0.803
0.511 0.805 0.460
0.824 0.176 0.500
0.833 0.666 0.000
0.995 0.332 0.338
0.669 0.497 0.663
0.334 0.666 0.000
0.668 0.005 0.662
0.833 0.161 0.133
0.334 0.167 0.000
0.503 0.331 0.337
0.486 0.859 0.197
0.195 0.489 0.540
0.166 0.498 0.166
0.996 0.836 0.340
0.164 0.004 0.660
0.502 0.834 0.834
```

Output
The calculated volume comes out at 11.502 Å³ per atom. As for the crystal system: monoclinic.



So which one is most stable? That would be <a>, about 11.6 kJ/mol of atoms below the next structure.



<a>
This record from the Alexandria database describes a relaxed structure of Co2Sb2O7. The functional is GGA+U.

POSCAR file:
```
Co2Sb2O7
1.0
4.530 -4.308 3.542
-1.535 -6.978 0.764
3.809 -4.929 -3.580
Co O Sb
4 14 4
Direct
0.125 0.625 0.625
0.625 0.125 0.625
0.625 0.625 0.125
0.625 0.625 0.625
0.793 0.207 0.793
0.207 0.207 0.793
0.457 0.457 0.043
0.500 0.500 0.500
0.457 0.043 0.043
0.043 0.457 0.457
0.207 0.793 0.793
0.750 0.750 0.750
0.043 0.043 0.457
0.457 0.043 0.457
0.793 0.207 0.207
0.043 0.457 0.043
0.207 0.793 0.207
0.793 0.793 0.207
0.125 0.625 0.125
0.125 0.125 0.125
0.625 0.125 0.125
0.125 0.125 0.625
```

Output
The calculated volume comes out at 11.923 Å³ per atom. As for the crystal system: cubic.



<b>
This record from the Alexandria database describes a relaxed structure of Co2Sb2O7. The functional is GGA+U.

POSCAR file:
```
Co2Sb2O7
1.0
4.963 0.000 -0.071
0.005 5.145 0.000
-0.380 -0.004 4.949
O Co Sb
7 2 2
Direct
0.000 0.748 0.500
0.500 0.748 0.000
0.500 0.252 0.000
0.000 0.000 0.000
0.500 0.239 0.500
0.000 0.252 0.500
0.500 0.761 0.500
0.729 0.500 0.729
0.271 0.500 0.271
0.271 0.000 0.729
0.729 0.000 0.271
```

Output
The calculated volume comes out at 11.474 Å³ per atom. As for the crystal system: monoclinic.



So which one is most stable? That would be <a>, about 11.8 kJ/mol of atoms below the next structure.